No. 1
Below is a relaxed CaZr2Pb crystal, with properties calculated at the PBE level.

Output
- ΔE_f (eV/f.u.) = 0.8
- space-group type = P4/mmm
- DOS at the Fermi energy (states/eV/cell) = 5.30
- volume (Å³ per atom) = 27.0
- raw total energy (eV per atom) = -5.506

a b c (Å): 3.298 3.298 9.912
angles (deg): 90.00 90.00 90.00
Atoms (fractional coordinates):
Ca 0.000 0.000 0.000
Zr 0.500 0.500 0.283
Zr 0.500 0.500 0.717
Pb 0.000 0.000 0.500

No. 2
Below is a relaxed BaTaCd crystal, with properties calculated at the PBE level.

Output
- E above lowest polymorph (meV/atom) = 160.7
- ΔE_f (eV/f.u.) = 2.4
- space-group type = P3m1
- DOS at the Fermi energy (states/eV/cell) = 4.05
- volume (Å³ per atom) = 26.1
- raw total energy (eV per atom) = -4.089

a b c (Å): 3.248 3.248 8.568
angles (deg): 90.00 90.00 120.00
Atoms (fractional coordinates):
Ba 0.000 0.000 0.000
Ta 0.333 0.667 0.652
Cd 0.667 0.333 0.373

No. 3
Below is a relaxed TaCrBr2 crystal, with properties calculated at the PBE level.

Output
- E above lowest polymorph (meV/atom) = 63.8
- space-group type = Cm
- DOS at the Fermi energy (states/eV/cell) = 3.35
- volume (Å³ per atom) = 26.6
- raw total energy (eV per atom) = -6.085
- E_form (uncorrected) (eV/atom) = 0.12

a b c (Å): 8.296 3.214 8.449
angles (deg): 90.00 108.88 90.00
Atoms (fractional coordinates):
Ta 0.000 0.000 0.000
Ta 0.500 0.500 0.000
Cr 0.238 0.000 0.862
Cr 0.738 0.500 0.862
Br 0.092 0.500 0.259
Br 0.465 0.000 0.706
Br 0.592 0.000 0.259
Br 0.965 0.500 0.706

No. 4
Below is a relaxed In3Ni crystal, with properties calculated at the PBE level.

Output
- ΔE_f (eV/f.u.) = 0.3
- space-group type = Pmm2
- DOS at the Fermi energy (states/eV/cell) = 2.13
- volume (Å³ per atom) = 22.6
- raw total energy (eV per atom) = -3.426

a b c (Å): 3.175 3.261 8.723
angles (deg): 90.00 90.00 90.00
Atoms (fractional coordinates):
In 0.000 0.000 0.000
In 0.000 0.500 0.395
In 0.500 0.500 0.718
Ni 0.500 0.000 0.242

No. 5
Below is a relaxed IrC crystal, with properties calculated at the PBE level.

Output
- E above lowest polymorph (meV/atom) = 1061.2
- ΔE_f (eV/f.u.) = 3.0
- space-group type = P6/mmm
- DOS at the Fermi energy (states/eV/cell) = 3.13
- volume (Å³ per atom) = 12.2
- raw total energy (eV per atom) = -7.524

a b c (Å): 5.478 5.478 2.820
angles (deg): 90.00 90.00 120.00
Atoms (fractional coordinates):
Ir 0.000 0.500 0.000
Ir 0.500 0.000 0.000
Ir 0.500 0.500 0.000
C 0.000 0.000 0.000
C 0.333 0.667 0.500
C 0.667 0.333 0.500

No. 6
Below is a relaxed SrFeRu crystal, with properties calculated at the PBE level.

Output
- E above lowest polymorph (meV/atom) = 88.6
- ΔE_f (eV/f.u.) = 1.1
- space-group type = P-1
- DOS at the Fermi energy (states/eV/cell) = 7.35
- volume (Å³ per atom) = 21.4
- raw total energy (eV per atom) = -6.102

a b c (Å): 3.911 5.938 6.256
angles (deg): 92.40 108.17 109.21
Atoms (fractional coordinates):
Sr 0.214 0.285 0.143
Sr 0.786 0.715 0.857
Fe 0.054 0.673 0.435
Fe 0.946 0.327 0.565
Ru 0.369 0.120 0.618
Ru 0.631 0.880 0.382

No. 7
Below is a relaxed CaSi2Pb crystal, with properties calculated at the PBE level.

Output
- space-group type = Pm
- DOS at the Fermi energy (states/eV/cell) = 2.25
- volume (Å³ per atom) = 24.4
- raw total energy (eV per atom) = -4.253
- E_form (uncorrected) (eV/atom) = -0.11

a b c (Å): 4.878 3.834 5.743
angles (deg): 90.00 114.77 90.00
Atoms (fractional coordinates):
Ca 0.000 0.000 0.000
Si 0.564 0.500 0.124
Si 0.701 0.000 0.408
Pb 0.285 0.500 0.575

No. 8
Below is a relaxed Sm4Er3Ge4 crystal, with properties calculated at the PBE level.

Output
- ΔE_f (eV/f.u.) = -6.6
- space-group type = Immm
- DOS at the Fermi energy (states/eV/cell) = 8.08
- volume (Å³ per atom) = 25.6
- raw total energy (eV per atom) = -5.239

a b c (Å): 10.038 10.038 10.038
angles (deg): 159.46 127.18 57.26
Atoms (fractional coordinates):
Sm 0.008 0.832 0.176
Sm 0.344 0.168 0.176
Sm 0.656 0.832 0.824
Sm 0.992 0.168 0.824
Er 0.000 0.500 0.500
Er 0.408 0.408 0.000
Er 0.592 0.592 0.000
Ge 0.277 0.000 0.277
Ge 0.278 0.778 0.500
Ge 0.722 0.222 0.500
Ge 0.723 0.000 0.723

No. 9
Below is a relaxed FeCu2 crystal, with properties calculated at the PBE level.

Output
- ΔE_f (eV/f.u.) = 0.5
- space-group type = I4_1/amd
- DOS at the Fermi energy (states/eV/cell) = 9.16
- volume (Å³ per atom) = 11.9
- raw total energy (eV per atom) = -5.401

a b c (Å): 11.170 11.170 11.170
angles (deg): 161.29 161.29 26.58
Atoms (fractional coordinates):
Fe 0.288 0.538 0.750
Fe 0.462 0.712 0.750
Fe 0.538 0.288 0.250
Fe 0.712 0.462 0.250
Cu 0.043 0.793 0.250
Cu 0.125 0.375 0.750
Cu 0.207 0.957 0.250
Cu 0.375 0.125 0.250
Cu 0.625 0.875 0.750
Cu 0.793 0.043 0.750
Cu 0.875 0.625 0.250
Cu 0.957 0.207 0.750

No. 10
Below is a relaxed Ca2BTeRh crystal, with properties calculated at the PBE level.

Output
- space-group type = P4/mmm
- DOS at the Fermi energy (states/eV/cell) = 3.22
- volume (Å³ per atom) = 22.7
- raw total energy (eV per atom) = -4.789
- E_form (uncorrected) (eV/atom) = -0.55

a b c (Å): 5.342 5.342 3.970
angles (deg): 90.00 90.00 90.00
Atoms (fractional coordinates):
Ca 0.000 0.500 0.000
Ca 0.500 0.000 0.000
B 0.000 0.000 0.000
Te 0.500 0.500 0.500
Rh 0.000 0.000 0.500

No. 11
Below is a relaxed Li2POs crystal, with properties calculated at the PBE level.

Output
- ΔE_f (eV/f.u.) = -0.3
- space-group type = Cmmm
- DOS at the Fermi energy (states/eV/cell) = 2.96
- volume (Å³ per atom) = 13.6
- raw total energy (eV per atom) = -5.197

a b c (Å): 4.562 8.485 2.813
angles (deg): 90.00 90.00 90.00
Atoms (fractional coordinates):
Li 0.250 0.250 0.000
Li 0.250 0.750 0.000
Li 0.750 0.250 0.000
Li 0.750 0.750 0.000
P 0.000 0.000 0.500
P 0.500 0.500 0.500
Os 0.000 0.500 0.500
Os 0.500 0.000 0.500

No. 12
Below is a relaxed AcSmN crystal, with properties calculated at the PBE level.

Output
- E above lowest polymorph (meV/atom) = 935.3
- space-group type = I4mm
- DOS at the Fermi energy (states/eV/cell) = 5.53
- volume (Å³ per atom) = 36.7
- raw total energy (eV per atom) = -5.537
- E_form (uncorrected) (eV/atom) = 0.18

a b c (Å): 5.180 5.180 8.214
angles (deg): 90.00 90.00 90.00
Atoms (fractional coordinates):
Ac 0.000 0.000 0.000
Ac 0.500 0.500 0.500
Sm 0.000 0.000 0.519
Sm 0.500 0.500 0.019
N 0.000 0.000 0.269
N 0.500 0.500 0.769

No. 13
Below is a relaxed Ba2BeCd crystal, with properties calculated at the PBE level.

Output
- E above lowest polymorph (meV/atom) = 366.7
- ΔE_f (eV/f.u.) = 1.8
- space-group type = I-42d
- DOS at the Fermi energy (states/eV/cell) = 18.88
- volume (Å³ per atom) = 39.4
- raw total energy (eV per atom) = -1.671

a b c (Å): 9.054 9.054 7.685
angles (deg): 90.00 90.00 90.00
Atoms (fractional coordinates):
Ba 0.211 0.750 0.125
Ba 0.250 0.211 0.875
Ba 0.250 0.289 0.375
Ba 0.289 0.750 0.625
Ba 0.711 0.250 0.625
Ba 0.750 0.711 0.375
Ba 0.750 0.789 0.875
Ba 0.789 0.250 0.125
Be 0.000 0.000 0.000
Be 0.000 0.500 0.250
Be 0.500 0.000 0.750
Be 0.500 0.500 0.500
Cd 0.000 0.000 0.500
Cd 0.000 0.500 0.750
Cd 0.500 0.000 0.250
Cd 0.500 0.500 0.000

No. 14
Below is a relaxed Li2CdHg5Pb2 crystal, with properties calculated at the PBE level.

Output
- ΔE_f (eV/f.u.) = -1.1
- space-group type = P4/mbm
- DOS at the Fermi energy (states/eV/cell) = 4.72
- volume (Å³ per atom) = 23.9
- raw total energy (eV per atom) = -1.473

a b c (Å): 11.588 11.588 3.567
angles (deg): 90.00 90.00 90.00
Atoms (fractional coordinates):
Li 0.128 0.372 0.000
Li 0.372 0.872 0.000
Li 0.628 0.128 0.000
Li 0.872 0.628 0.000
Cd 0.000 0.000 0.000
Cd 0.500 0.500 0.000
Hg 0.000 0.500 0.500
Hg 0.064 0.203 0.500
Hg 0.203 0.936 0.500
Hg 0.297 0.436 0.500
Hg 0.436 0.703 0.500
Hg 0.500 0.000 0.500
Hg 0.564 0.297 0.500
Hg 0.703 0.564 0.500
Hg 0.797 0.064 0.500
Hg 0.936 0.797 0.500
Pb 0.175 0.675 0.000
Pb 0.325 0.175 0.000
Pb 0.675 0.825 0.000
Pb 0.825 0.325 0.000

No. 15
Below is a relaxed ErTa2MnC4 crystal, with properties calculated at the PBE level.

Output
- ΔE_f (eV/f.u.) = -3.0
- space-group type = Cmcm
- DOS at the Fermi energy (states/eV/cell) = 7.15
- volume (Å³ per atom) = 11.9
- raw total energy (eV per atom) = -9.665

a b c (Å): 5.719 5.719 10.869
angles (deg): 90.00 90.00 147.49
Atoms (fractional coordinates):
Er 0.103 0.897 0.750
Er 0.897 0.103 0.250
Ta 0.369 0.631 0.543
Ta 0.369 0.631 0.957
Ta 0.631 0.369 0.043
Ta 0.631 0.369 0.457
Mn 0.163 0.837 0.250
Mn 0.837 0.163 0.750
C 0.000 0.000 0.000
C 0.000 0.000 0.500
C 0.265 0.735 0.118
C 0.265 0.735 0.382
C 0.429 0.571 0.750
C 0.571 0.429 0.250
C 0.735 0.265 0.618
C 0.735 0.265 0.882

No. 16
Below is a relaxed Pr3Ag11 crystal, with properties calculated at the PBE level.

Output
- ΔE_f (eV/f.u.) = -2.4
- space-group type = Immm
- DOS at the Fermi energy (states/eV/cell) = 6.67
- volume (Å³ per atom) = 22.3
- raw total energy (eV per atom) = -3.438

a b c (Å): 8.705 8.705 8.705
angles (deg): 148.56 112.30 76.55
Atoms (fractional coordinates):
Pr 0.000 0.000 0.000
Pr 0.301 0.301 0.000
Pr 0.699 0.699 0.000
Ag 0.030 0.671 0.359
Ag 0.153 0.873 0.280
Ag 0.307 0.500 0.807
Ag 0.312 0.671 0.641
Ag 0.407 0.127 0.280
Ag 0.500 0.000 0.500
Ag 0.593 0.873 0.720
Ag 0.688 0.329 0.359
Ag 0.693 0.500 0.193
Ag 0.847 0.127 0.720
Ag 0.970 0.329 0.641

No. 17
Below is a relaxed SmScPd crystal, with properties calculated at the PBE level.

Output
- E above lowest polymorph (meV/atom) = 7.9
- ΔE_f (eV/f.u.) = -1.7
- space-group type = P4/nmm
- DOS at the Fermi energy (states/eV/cell) = 10.23
- volume (Å³ per atom) = 24.2
- raw total energy (eV per atom) = -5.990

a b c (Å): 4.588 4.588 6.912
angles (deg): 90.00 90.00 90.00
Atoms (fractional coordinates):
Sm 0.250 0.250 0.126
Sm 0.750 0.750 0.874
Sc 0.250 0.750 0.500
Sc 0.750 0.250 0.500
Pd 0.250 0.250 0.718
Pd 0.750 0.750 0.282

No. 18
Below is a relaxed La3Pm7Y2 crystal, with properties calculated at the PBE level.

Output
- E above lowest polymorph (meV/atom) = 0.0
- ΔE_f (eV/f.u.) = 1.0
- space-group type = P2/m
- DOS at the Fermi energy (states/eV/cell) = 17.64
- volume (Å³ per atom) = 35.2
- raw total energy (eV per atom) = -4.998

a b c (Å): 5.988 3.648 19.355
angles (deg): 90.00 92.99 90.00
Atoms (fractional coordinates):
La 0.000 0.000 0.000
La 0.276 0.500 0.634
La 0.724 0.500 0.366
Pm 0.191 0.500 0.144
Pm 0.244 0.000 0.464
Pm 0.306 0.000 0.821
Pm 0.500 0.500 0.000
Pm 0.694 0.000 0.179
Pm 0.756 0.000 0.536
Pm 0.809 0.500 0.856
Y 0.214 0.000 0.294
Y 0.786 0.000 0.706

No. 19
Below is a relaxed Pr4SiSe2Br crystal, with properties calculated at the PBE level.

Output
- space-group type = P2/m
- DOS at the Fermi energy (states/eV/cell) = 3.63
- volume (Å³ per atom) = 28.3
- raw total energy (eV per atom) = -5.602
- E_form (uncorrected) (eV/atom) = -1.45

a b c (Å): 7.366 4.273 7.599
angles (deg): 90.00 108.89 90.00
Atoms (fractional coordinates):
Pr 0.240 0.000 0.222
Pr 0.256 0.500 0.771
Pr 0.744 0.500 0.229
Pr 0.760 0.000 0.778
Si 0.500 0.000 0.000
Se 0.000 0.000 0.500
Se 0.000 0.500 0.000
Br 0.500 0.500 0.500

No. 20
Below is a relaxed Cs2Ba2TeO6 crystal, with properties calculated at the PBE level.

Output
- space-group type = C2/m
- DOS at the Fermi energy (states/eV/cell) = 0.00
- volume (Å³ per atom) = 23.4
- raw total energy (eV per atom) = -5.308
- E_form (uncorrected) (eV/atom) = -1.81

a b c (Å): 6.471 6.471 7.209
angles (deg): 97.22 97.22 118.26
Atoms (fractional coordinates):
Cs 0.164 0.836 0.000
Cs 0.836 0.164 0.000
Ba 0.338 0.662 0.500
Ba 0.662 0.338 0.500
Te 0.000 0.000 0.500
O 0.042 0.300 0.655
O 0.196 0.196 0.329
O 0.300 0.042 0.655
O 0.700 0.958 0.345
O 0.804 0.804 0.671
O 0.958 0.700 0.345